Entry from OQMD: crystalline HfZr2Pd4N4 at its relaxed geometry (PBE).

Unit cell a=6.414 b=3.242 c=7.854 alpha=90.00 beta=104.97 gamma=90.00
Element x y z (fractional)
Hf: 0.722 0.000 0.580
N: 0.133 0.000 0.204
N: 0.604 0.500 0.400
N: 0.408 0.000 0.600
N: 0.881 0.500 0.757
Pd: 0.454 0.000 0.122
Pd: 0.842 0.500 0.270
Pd: 0.183 0.000 0.742
Pd: 0.603 0.500 0.886
Zr: 0.074 0.500 0.012
Zr: 0.291 0.500 0.426

Calculated density: 8.87 g/cm3
Total magnetization: 0.00 μB/cell

=====

Entry from OQMD: crystalline LaTmI2O2 at its relaxed geometry (PBE).

Unit cell a=4.008 b=4.008 c=9.271 alpha=90.00 beta=90.00 gamma=90.00
Element x y z (fractional)
I: 0.000 0.000 0.323
I: 0.500 0.500 0.665
La: 0.000 0.000 0.873
O: 0.500 0.000 0.010
O: 0.000 0.500 0.010
Tm: 0.500 0.500 0.119

Calculated density: 6.62 g/cm3
Total magnetization: 0.00 μB/cell

=====

Entry from OQMD: crystalline Ni16W13 at its relaxed geometry (PBE).

Unit cell a=8.023 b=8.023 c=8.023 alpha=109.47 beta=109.47 gamma=109.47
Element x y z (fractional)
Ni: 0.657 0.000 0.000
Ni: 0.688 0.411 0.000
Ni: 0.000 0.657 0.000
Ni: 0.411 0.688 0.000
Ni: 0.589 0.589 0.277
Ni: 0.723 0.312 0.312
Ni: 0.312 0.723 0.312
Ni: 0.343 0.343 0.343
Ni: 0.688 0.000 0.411
Ni: 0.000 0.688 0.411
Ni: 0.589 0.277 0.589
Ni: 0.277 0.589 0.589
Ni: 0.000 0.000 0.657
Ni: 0.411 0.000 0.688
Ni: 0.000 0.411 0.688
Ni: 0.312 0.312 0.723
W: 0.000 0.000 0.000
W: 0.390 0.198 0.000
W: 0.198 0.390 0.000
W: 0.802 0.802 0.193
W: 0.390 0.000 0.198
W: 0.000 0.390 0.198
W: 0.198 0.000 0.390
W: 0.000 0.198 0.390
W: 0.807 0.610 0.610
W: 0.610 0.807 0.610
W: 0.802 0.193 0.802
W: 0.193 0.802 0.802
W: 0.610 0.610 0.807

Calculated density: 13.91 g/cm3
Offset from the most stable computed form: 3.29 eV per formula unit
Total magnetization: 0.01 μB/cell
DFT formation energy: 653 kJ/mol of formula units

=====

Entry from OQMD: crystalline PrGd2Bi3 at its relaxed geometry (PBE).

Unit cell a=4.529 b=4.529 c=11.132 alpha=90.00 beta=90.00 gamma=120.00
Element x y z (fractional)
Bi: 0.000 0.000 0.000
Bi: 0.333 0.667 0.326
Bi: 0.667 0.333 0.674
Gd: 0.667 0.333 0.163
Gd: 0.333 0.667 0.837
Pr: 0.000 0.000 0.500

Calculated density: 9.09 g/cm3
Total magnetization: 0.00 μB/cell

=====

| no. | E (eV per formula unit) |
| --- | --- |
| 1 | -87.62 |
| 2 | -38.81 |
| 3 | -250.79 |
| 4 | -31.82 |